No. 1
This record from Alexandria via LeMat-Bulk describes crystalline Hf2TlW at its relaxed geometry. The functional is GGA-PBE.

Results
space group	No. 166

```
Hf2TlW
1.0
3.021 0.000 0.000
-1.511 2.616 0.000
0.000 0.000 32.558
Hf Tl W
6 3 3
Direct
0.000 0.000 0.084
0.000 0.000 0.916
0.333 0.667 0.583
0.333 0.667 0.750
0.667 0.333 0.250
0.667 0.333 0.417
0.000 0.000 0.500
0.333 0.667 0.167
0.667 0.333 0.833
0.000 0.000 0.000
0.333 0.667 0.667
0.667 0.333 0.333
```

No. 2
This record from Alexandria via LeMat-Bulk describes crystalline LaTi3C at its relaxed geometry. The functional is GGA-PBE.

Results
space group	No. 221

```
LaTi3C
1.0
4.412 0.000 0.000
0.000 4.412 0.000
0.000 0.000 4.412
La Ti C
1 3 1
Direct
0.000 0.000 0.000
0.000 0.500 0.500
0.500 0.000 0.500
0.500 0.500 0.000
0.500 0.500 0.500
```

Number 1: M_tot 0.00 μB per formula unit, formation energy 0.583 eV/atom. Number 2: M_tot 0.00 μB per formula unit, formation energy 0.015 eV/atom.